[1]
Below is a geometry-optimized Cd3AsBr2 structure, with properties calculated at the PBE-GGA level.

Output
Symmetry: C2/c, No. 15
E_form (uncorrected) (eV/f.u.): -2.2

a = 7.301 Å, b = 7.301 Å, c = 7.452 Å
α = 102.55°, β = 102.55°, γ = 116.20°
Sites, in units of the cell vectors:
Cd (0.000, 0.500, 0.500)
Cd (0.125, 0.265, 0.013)
Cd (0.265, 0.125, 0.513)
Cd (0.500, 0.000, 0.000)
Cd (0.735, 0.875, 0.487)
Cd (0.875, 0.735, 0.987)
As (0.099, 0.901, 0.750)
As (0.901, 0.099, 0.250)
Br (0.260, 0.740, 0.250)
Br (0.424, 0.576, 0.750)
Br (0.576, 0.424, 0.250)
Br (0.740, 0.260, 0.750)

[2]
Below is a geometry-optimized Ba2ZrCd structure, with properties calculated at the PBE-GGA level.

Output
Symmetry: P2/m, No. 10
Formation energy from the elements (eV/atom): 0.310

a = 3.822 Å, b = 3.814 Å, c = 9.997 Å
α = 90.00°, β = 90.05°, γ = 90.00°
Sites, in units of the cell vectors:
Ba (0.000, 0.000, 0.244)
Ba (0.000, 0.000, 0.756)
Zr (0.500, 0.500, 0.500)
Cd (0.500, 0.500, 0.000)

[3]
Below is a geometry-optimized Zr4CdHg3 structure, with properties calculated at the PBE-GGA level.

Output
Symmetry: I4/mmm, No. 139
Formation energy from the elements (eV/atom): -0.159

a = 9.256 Å, b = 9.256 Å, c = 9.256 Å
α = 152.16°, β = 152.16°, γ = 39.77°
Sites, in units of the cell vectors:
Zr (0.126, 0.626, 0.500)
Zr (0.374, 0.874, 0.500)
Zr (0.626, 0.126, 0.500)
Zr (0.874, 0.374, 0.500)
Cd (0.000, 0.000, 0.000)
Hg (0.250, 0.250, 0.000)
Hg (0.500, 0.500, 0.000)
Hg (0.750, 0.750, 0.000)

[4]
Below is a geometry-optimized P2C structure, with properties calculated at the PBE-GGA level.

Output
Symmetry: P-31m, No. 162
Formation energy from the elements (eV/atom): 1.316

a = 5.599 Å, b = 5.599 Å, c = 4.022 Å
α = 90.00°, β = 90.00°, γ = 120.00°
Sites, in units of the cell vectors:
P (0.000, 0.357, 0.194)
P (0.000, 0.643, 0.806)
P (0.357, 0.000, 0.194)
P (0.357, 0.357, 0.806)
P (0.643, 0.000, 0.806)
P (0.643, 0.643, 0.194)
C (0.000, 0.000, 0.000)
C (0.333, 0.667, 0.500)
C (0.667, 0.333, 0.500)

[5]
Below is a geometry-optimized Ta3Tc structure, with properties calculated at the PBE-GGA level.

Output
Symmetry: I4/mmm, No. 139
Formation energy from the elements (eV/atom): 0.044

a = 9.856 Å, b = 9.856 Å, c = 9.856 Å
α = 157.51°, β = 157.51°, γ = 32.02°
Sites, in units of the cell vectors:
Ta (0.000, 0.500, 0.500)
Ta (0.125, 0.125, 0.000)
Ta (0.250, 0.750, 0.500)
Ta (0.500, 0.000, 0.500)
Ta (0.750, 0.250, 0.500)
Ta (0.875, 0.875, 0.000)
Tc (0.375, 0.375, 0.000)
Tc (0.625, 0.625, 0.000)

[6]
Below is a geometry-optimized Rb2HoGaO4 structure, with properties calculated at the PBE-GGA level.

Output
Symmetry: Fddd, No. 70
E_form (uncorrected) (eV/f.u.): -15.5

a = 12.891 Å, b = 11.555 Å, c = 6.924 Å
α = 84.51°, β = 63.16°, γ = 32.32°
Sites, in units of the cell vectors:
Rb (0.060, 0.060, 0.690)
Rb (0.310, 0.310, 0.940)
Rb (0.690, 0.690, 0.060)
Rb (0.940, 0.940, 0.310)
Ho (0.125, 0.125, 0.125)
Ho (0.875, 0.875, 0.875)
Ga (0.375, 0.375, 0.375)
Ga (0.625, 0.625, 0.625)
O (0.024, 0.643, 0.548)
O (0.285, 0.548, 0.643)
O (0.357, 0.976, 0.715)
O (0.452, 0.715, 0.976)
O (0.548, 0.285, 0.024)
O (0.643, 0.024, 0.285)
O (0.715, 0.452, 0.357)
O (0.976, 0.357, 0.452)

[7]
Below is a geometry-optimized ScIn2Ir structure, with properties calculated at the PBE-GGA level.

Output
Symmetry: F-43m, No. 216
Formation energy from the elements (eV/atom): -0.272

a = 4.784 Å, b = 4.784 Å, c = 4.784 Å
α = 60.00°, β = 60.00°, γ = 60.00°
Sites, in units of the cell vectors:
Sc (0.000, 0.000, 0.000)
In (0.500, 0.500, 0.500)
In (0.750, 0.750, 0.750)
Ir (0.250, 0.250, 0.250)

[8]
Below is a geometry-optimized Na3ZnO3 structure, with properties calculated at the PBE-GGA level.

Output
Symmetry: R3m, No. 160
E_form (uncorrected) (eV/f.u.): -8.0

a = 6.020 Å, b = 6.020 Å, c = 6.020 Å
α = 115.83°, β = 115.83°, γ = 115.83°
Sites, in units of the cell vectors:
Na (0.179, 0.179, 0.642)
Na (0.179, 0.642, 0.179)
Na (0.642, 0.179, 0.179)
Zn (0.539, 0.539, 0.539)
O (0.288, 0.602, 0.602)
O (0.602, 0.288, 0.602)
O (0.602, 0.602, 0.288)

[9]
Below is a geometry-optimized Tb8Sn2Pd structure, with properties calculated at the PBE-GGA level.

Output
Symmetry: C2/m, No. 12
Formation energy from the elements (eV/atom): -0.432

a = 9.936 Å, b = 9.936 Å, c = 6.769 Å
α = 103.22°, β = 103.22°, γ = 29.08°
Sites, in units of the cell vectors:
Tb (0.018, 0.018, 0.277)
Tb (0.216, 0.216, 0.822)
Tb (0.352, 0.352, 0.498)
Tb (0.408, 0.408, 0.026)
Tb (0.592, 0.592, 0.974)
Tb (0.648, 0.648, 0.502)
Tb (0.784, 0.784, 0.178)
Tb (0.982, 0.982, 0.723)
Sn (0.183, 0.183, 0.261)
Sn (0.817, 0.817, 0.739)
Pd (0.500, 0.500, 0.500)

[10]
Below is a geometry-optimized K2Al2As structure, with properties calculated at the PBE-GGA level.

Output
Symmetry: P4/mbm, No. 127
Formation energy from the elements (eV/atom): 0.063

a = 7.018 Å, b = 7.018 Å, c = 5.814 Å
α = 90.00°, β = 90.00°, γ = 90.00°
Sites, in units of the cell vectors:
K (0.189, 0.311, 0.000)
K (0.311, 0.811, 0.000)
K (0.689, 0.189, 0.000)
K (0.811, 0.689, 0.000)
Al (0.130, 0.630, 0.500)
Al (0.370, 0.130, 0.500)
Al (0.630, 0.870, 0.500)
Al (0.870, 0.370, 0.500)
As (0.000, 0.000, 0.500)
As (0.500, 0.500, 0.500)

[11]
Below is a geometry-optimized TlCd2GaCl6 structure, with properties calculated at the PBE-GGA level.

Output
Symmetry: C2/c, No. 15
E_form (uncorrected) (eV/f.u.): -9.8

a = 9.467 Å, b = 9.467 Å, c = 7.589 Å
α = 100.35°, β = 100.35°, γ = 80.53°
Sites, in units of the cell vectors:
Tl (0.193, 0.807, 0.750)
Tl (0.807, 0.193, 0.250)
Cd (0.119, 0.314, 0.746)
Cd (0.314, 0.119, 0.246)
Cd (0.686, 0.881, 0.754)
Cd (0.881, 0.686, 0.254)
Ga (0.403, 0.597, 0.250)
Ga (0.597, 0.403, 0.750)
Cl (0.095, 0.183, 0.007)
Cl (0.129, 0.586, 0.378)
Cl (0.183, 0.095, 0.507)
Cl (0.293, 0.488, 0.860)
Cl (0.414, 0.871, 0.122)
Cl (0.488, 0.293, 0.360)
Cl (0.512, 0.707, 0.640)
Cl (0.586, 0.129, 0.878)
Cl (0.707, 0.512, 0.140)
Cl (0.817, 0.905, 0.493)
Cl (0.871, 0.414, 0.622)
Cl (0.905, 0.817, 0.993)

[12]
Below is a geometry-optimized YMn2Mo structure, with properties calculated at the PBE-GGA level.

Output
Symmetry: R3m, No. 160
Formation energy from the elements (eV/atom): 0.578

a = 8.905 Å, b = 8.905 Å, c = 8.905 Å
α = 19.84°, β = 19.84°, γ = 19.84°
Sites, in units of the cell vectors:
Y (0.000, 0.000, 0.000)
Mn (0.234, 0.234, 0.234)
Mn (0.498, 0.498, 0.498)
Mo (0.765, 0.765, 0.765)

[13]
Below is a geometry-optimized Tl3Hg5Au6 structure, with properties calculated at the PBE-GGA level.

Output
Symmetry: Immm, No. 71
Formation energy from the elements (eV/atom): 0.020

a = 8.987 Å, b = 8.987 Å, c = 8.987 Å
α = 149.15°, β = 110.63°, γ = 77.83°
Sites, in units of the cell vectors:
Tl (0.000, 0.000, 0.000)
Tl (0.322, 0.322, 0.000)
Tl (0.678, 0.678, 0.000)
Hg (0.047, 0.693, 0.354)
Hg (0.338, 0.693, 0.646)
Hg (0.500, 0.000, 0.500)
Hg (0.662, 0.307, 0.354)
Hg (0.953, 0.307, 0.646)
Au (0.148, 0.889, 0.259)
Au (0.283, 0.500, 0.783)
Au (0.369, 0.111, 0.259)
Au (0.631, 0.889, 0.741)
Au (0.717, 0.500, 0.217)
Au (0.852, 0.111, 0.741)

[14]
Below is a geometry-optimized Pm2Dy8Tl structure, with properties calculated at the PBE-GGA level.

Output
Symmetry: C2/m, No. 12
Formation energy from the elements (eV/atom): -0.033

a = 9.368 Å, b = 9.368 Å, c = 7.903 Å
α = 104.80°, β = 104.80°, γ = 30.73°
Sites, in units of the cell vectors:
Pm (0.222, 0.222, 0.135)
Pm (0.778, 0.778, 0.865)
Dy (0.044, 0.044, 0.223)
Dy (0.134, 0.134, 0.675)
Dy (0.319, 0.319, 0.591)
Dy (0.411, 0.411, 0.056)
Dy (0.589, 0.589, 0.944)
Dy (0.681, 0.681, 0.409)
Dy (0.866, 0.866, 0.325)
Dy (0.956, 0.956, 0.777)
Tl (0.500, 0.500, 0.500)

[15]
Below is a geometry-optimized Y3Ir structure, with properties calculated at the PBE-GGA level.

Output
Symmetry: P4/mmm, No. 123
Formation energy from the elements (eV/atom): -0.380

a = 3.488 Å, b = 3.488 Å, c = 8.880 Å
α = 90.00°, β = 90.00°, γ = 90.00°
Sites, in units of the cell vectors:
Y (0.000, 0.000, 0.000)
Y (0.500, 0.500, 0.315)
Y (0.500, 0.500, 0.685)
Ir (0.000, 0.000, 0.500)

[16]
Below is a geometry-optimized ErTlPb structure, with properties calculated at the PBE-GGA level.

Output
Symmetry: I4mm, No. 107
Formation energy from the elements (eV/atom): -0.124

a = 6.419 Å, b = 6.419 Å, c = 6.419 Å
α = 145.31°, β = 145.31°, γ = 49.88°
Sites, in units of the cell vectors:
Er (0.000, 0.000, 0.000)
Tl (0.663, 0.663, 0.000)
Pb (0.329, 0.329, 0.000)

[17]
Below is a geometry-optimized CsSrScAg2 structure, with properties calculated at the PBE-GGA level.

Output
Symmetry: P4/mmm, No. 123
Formation energy from the elements (eV/atom): 1.233

a = 5.813 Å, b = 5.813 Å, c = 6.241 Å
α = 90.00°, β = 90.00°, γ = 90.00°
Sites, in units of the cell vectors:
Cs (0.000, 0.000, 0.000)
Sr (0.000, 0.000, 0.500)
Sc (0.500, 0.500, 0.500)
Ag (0.000, 0.500, 0.000)
Ag (0.500, 0.000, 0.000)

[18]
Below is a geometry-optimized K2BaSc structure, with properties calculated at the PBE-GGA level.

Output
Symmetry: R-3m, No. 166
Formation energy from the elements (eV/atom): 0.514

a = 14.821 Å, b = 14.821 Å, c = 14.821 Å
α = 15.33°, β = 15.33°, γ = 15.33°
Sites, in units of the cell vectors:
K (0.242, 0.242, 0.242)
K (0.758, 0.758, 0.758)
Ba (0.000, 0.000, 0.000)
Sc (0.500, 0.500, 0.500)

[19]
Below is a geometry-optimized Ca4PF5 structure, with properties calculated at the PBE-GGA level.

Output
Symmetry: C2/m, No. 12
E_form (uncorrected) (eV/f.u.): -30.9

a = 7.793 Å, b = 7.793 Å, c = 6.861 Å
α = 116.03°, β = 116.03°, γ = 28.72°
Sites, in units of the cell vectors:
Ca (0.000, 0.000, 0.232)
Ca (0.000, 0.000, 0.768)
Ca (0.295, 0.295, 0.295)
Ca (0.705, 0.705, 0.705)
P (0.500, 0.500, 0.500)
F (0.177, 0.177, 0.439)
F (0.177, 0.177, 0.916)
F (0.500, 0.500, 0.000)
F (0.823, 0.823, 0.084)
F (0.823, 0.823, 0.561)

[20]
Below is a geometry-optimized BeTePd2 structure, with properties calculated at the PBE-GGA level.

Output
Symmetry: I-42d, No. 122
E_form (uncorrected) (eV/f.u.): 0.0

a = 7.783 Å, b = 7.783 Å, c = 7.783 Å
α = 144.78°, β = 144.78°, γ = 50.66°
Sites, in units of the cell vectors:
Be (0.000, 0.000, 0.000)
Be (0.750, 0.250, 0.500)
Te (0.250, 0.750, 0.500)
Te (0.500, 0.500, 0.000)
Pd (0.042, 0.625, 0.917)
Pd (0.375, 0.292, 0.417)
Pd (0.708, 0.125, 0.083)
Pd (0.875, 0.958, 0.583)

| no. | M_tot (μB/f.u.) | electronic total energy (eV per atom) | Fermi-level density of states (states/eV/atom) |
| --- | --- | --- | --- |
| 1 | 0.0 | -2.150 | 0.1734 |
| 2 | 0.0 | -3.018 | 1.6118 |
| 3 | 0.0 | -4.661 | 1.2005 |
| 4 | 0.0 | -5.365 | 0.2879 |
| 5 | 0.0 | -11.437 | 1.1005 |
| 6 | 0.0 | -5.607 | 0.0000 |
| 7 | 0.0 | -5.439 | 0.4836 |
| 8 | 1.0 | -4.017 | 0.7164 |
| 9 | 0.0 | -5.000 | 0.8131 |
| 10 | 0.0 | -2.803 | 0.6976 |
| 11 | 0.0 | -2.814 | 0.0000 |
| 12 | 1.6 | -8.331 | 1.1459 |
| 13 | 0.0 | -1.999 | 0.2976 |
| 14 | 0.0 | -4.459 | 1.3538 |
| 15 | 0.0 | -7.444 | 1.3883 |
| 16 | 0.0 | -3.669 | 0.9546 |
| 17 | 1.2 | -1.681 | 1.5601 |
| 18 | 2.2 | -2.098 | 1.1440 |
| 19 | 0.0 | -5.367 | 0.0000 |
| 20 | 0.0 | -4.324 | 0.4020 |